Here is an optimized crystal structure of CrRe2As from Alexandria. Energies are from GGA-PBE.

Output
Formation energy = 0.205 eV/atom
Total magnetic moment = 0.000 Bohr magnetons per cell

a = 2.977 Å, b = 4.341 Å, c = 8.617 Å
α = 90.00°, β = 90.00°, γ = 90.00°
Space group Imm2 (No. 44)
Inequivalent atoms, fractional coordinates:
Cr: 0.000 0.000 0.000
Re: 0.000 0.000 0.465
Re: 0.000 0.500 0.237
As: 0.000 0.500 0.724

=====

Here is an optimized crystal structure of V3TcI from Alexandria. Energies are from GGA-PBE.

Output
VASP energy = -6.705 eV/atom
Total magnetic moment = 4.876 Bohr magnetons per cell

a = 4.719 Å, b = 4.719 Å, c = 4.719 Å
α = 90.00°, β = 90.00°, γ = 90.00°
Space group Pm-3m (No. 221)
Inequivalent atoms, fractional coordinates:
V: 0.000 0.000 0.500
Tc: 0.000 0.000 0.000
I: 0.500 0.500 0.500

=====

Here is an optimized crystal structure of La3RhCl3 from Alexandria. Energies are from GGA-PBE.

Output
VASP energy = -5.613 eV/atom
Total magnetic moment = 0.016 Bohr magnetons per cell

a = 12.002 Å, b = 12.002 Å, c = 12.002 Å
α = 90.00°, β = 90.00°, γ = 90.00°
Space group I4_132 (No. 214)
Inequivalent atoms, fractional coordinates:
La: 0.114 0.364 0.125
Rh: 0.125 0.125 0.125
Cl: 0.124 0.126 0.625

=====

Here is an optimized crystal structure of Rb2CdReCl6 from Alexandria. Energies are from GGA-PBE.

Output
VASP energy = -3.677 eV/atom
Total magnetic moment = 12.000 Bohr magnetons per cell

a = 11.053 Å, b = 11.053 Å, c = 11.053 Å
α = 90.00°, β = 90.00°, γ = 90.00°
Space group Fm-3m (No. 225)
Inequivalent atoms, fractional coordinates:
Rb: 0.250 0.250 0.250
Cd: 0.000 0.000 0.000
Re: 0.000 0.000 0.500
Cl: 0.000 0.000 0.284

=====

Here is an optimized crystal structure of LiTlSi from Alexandria. Energies are from GGA-PBE.

Output
VASP energy = -3.069 eV/atom
Total magnetic moment = 0.000 Bohr magnetons per cell

a = 7.084 Å, b = 4.371 Å, c = 8.549 Å
α = 90.00°, β = 90.00°, γ = 90.00°
Space group Pnma (No. 62)
Inequivalent atoms, fractional coordinates:
Li: 0.013 0.250 0.138
Tl: 0.155 0.750 0.392
Si: 0.240 0.250 0.583

=====

Here is an optimized crystal structure of KScSi2 from Alexandria. Energies are from GGA-PBE.

Output
VASP energy = -4.281 eV/atom
Total magnetic moment = 0.000 Bohr magnetons per cell

a = 4.433 Å, b = 4.433 Å, c = 4.300 Å
α = 90.00°, β = 90.00°, γ = 90.00°
Space group P4/mmm (No. 123)
Inequivalent atoms, fractional coordinates:
K: 0.000 0.000 0.000
Sc: 0.500 0.500 0.000
Si: 0.000 0.500 0.500

=====

Here is an optimized crystal structure of SrAcInPb from Alexandria. Energies are from GGA-PBE.

Output
Formation energy = -0.454 eV/atom
Total magnetic moment = 0.000 Bohr magnetons per cell

a = 8.236 Å, b = 8.236 Å, c = 8.236 Å
α = 90.00°, β = 90.00°, γ = 90.00°
Space group F-43m (No. 216)
Inequivalent atoms, fractional coordinates:
Sr: 0.000 0.000 0.000
Ac: 0.000 0.000 0.500
In: 0.250 0.250 0.250
Pb: 0.250 0.250 0.750

=====

Here is an optimized crystal structure of YTcOs2 from Alexandria. Energies are from GGA-PBE.

Output
Formation energy = 0.456 eV/atom
Total magnetic moment = 0.000 Bohr magnetons per cell

a = 4.171 Å, b = 4.171 Å, c = 3.899 Å
α = 90.00°, β = 90.00°, γ = 90.00°
Space group P4/mmm (No. 123)
Inequivalent atoms, fractional coordinates:
Y: 0.000 0.000 0.000
Tc: 0.500 0.500 0.000
Os: 0.000 0.500 0.500